No. 1
# Rb | Alexandria via LeMat-Bulk | meta-GGA SCAN | PBEsol geometry
data_Rb
_cell_length_a 7.8067
_cell_length_b 7.8067
_cell_length_c 4.7971
_cell_angle_alpha 90.00
_cell_angle_beta 90.00
_cell_angle_gamma 120.00
_symmetry_space_group_name_H-M 'R -3 m'
_symmetry_Int_Tables_number 166
_symmetry_space_group_name_Hall '-R 3 2"'
loop_
_atom_site_label
_atom_site_type_symbol
_atom_site_fract_x
_atom_site_fract_y
_atom_site_fract_z
Rb1 Rb 0.0000 0.0000 0.0000
# DFT formation energy   0.000 eV per atom
# Fermi-level density of states   0.80 states/eV per atom

No. 2
# YCrSe2 | Alexandria via LeMat-Bulk | meta-GGA SCAN | PBEsol geometry
data_YCrSe2
_cell_length_a 3.9330
_cell_length_b 3.9330
_cell_length_c 5.5374
_cell_angle_alpha 90.00
_cell_angle_beta 90.00
_cell_angle_gamma 90.00
_symmetry_space_group_name_H-M 'P 4 m m'
_symmetry_Int_Tables_number 99
_symmetry_space_group_name_Hall 'P 4 -2'
loop_
_atom_site_label
_atom_site_type_symbol
_atom_site_fract_x
_atom_site_fract_y
_atom_site_fract_z
Y1 Y 0.0000 0.0000 0.0000
Cr1 Cr 0.5000 0.5000 0.4987
Se1 Se 0.0000 0.0000 0.4998
Se2 Se 0.5000 0.5000 0.9988
# Fermi-level density of states   0.33 states/eV per atom
# Total energy   -22.973 eV per atom

No. 3
# KCoSi4 | Alexandria via LeMat-Bulk | meta-GGA SCAN | PBEsol geometry
data_KCoSi4
_cell_length_a 7.3172
_cell_length_b 7.3172
_cell_length_c 7.3172
_cell_angle_alpha 90.00
_cell_angle_beta 90.00
_cell_angle_gamma 90.00
_symmetry_space_group_name_H-M 'F -4 3 m'
_symmetry_Int_Tables_number 216
_symmetry_space_group_name_Hall 'F -4 2 3'
loop_
_atom_site_label
_atom_site_type_symbol
_atom_site_fract_x
_atom_site_fract_y
_atom_site_fract_z
K1 K 0.0000 0.0000 0.0000
Co1 Co 0.2500 0.2500 0.2500
Si1 Si 0.1237 0.1237 0.6237
# Fermi-level density of states   0.57 states/eV per atom
# Total energy   -10.244 eV per atom